# PBE SrSc2Al, relaxed
# DFT total energy = -35.38 eV per cell
# DFT formation energy = 99 meV per atom
data_SrSc2Al
_chemical_formula_sum 'Sr2 Sc4 Al2'
_cell_length_a 3.7440
_cell_length_b 5.1148
_cell_length_c 11.1542
_cell_angle_alpha 90.00
_cell_angle_beta 90.00
_cell_angle_gamma 90.00
_symmetry_space_group_name_H-M 'I m m 2'
_symmetry_Int_Tables_number 44
loop_
_symmetry_equiv_pos_as_xyz
'x,y,z'
'-x,-y,z'
'-x,y,z'
'x,-y,z'
'x+1/2,y+1/2,z+1/2'
'-x+1/2,-y+1/2,z+1/2'
'-x+1/2,y+1/2,z+1/2'
'x+1/2,-y+1/2,z+1/2'
loop_
_atom_site_label
_atom_site_fract_x
_atom_site_fract_y
_atom_site_fract_z
_atom_site_occupancy
Sr1 0.0000 0.0000 0.0000 1
Sc1 0.0000 0.0000 0.4340 1
Sc2 0.0000 0.5000 0.2150 1
Al1 0.0000 0.5000 0.7406 1